No. 1
Compound: TmThHgPt
Source: Alexandria via LeMat-Bulk
Functional: PBE
Structure: optimized geometry

The space group is F-43m (No. 216) and the conventional cell measures 7.3094, 7.3094 and 7.3094 Å, with angles of 90.00, 90.00 and 90.00 degrees. The inequivalent atoms are Tm at (0.0000, 0.0000, 0.0000), Th at (0.0000, 0.0000, 0.5000), Hg at (0.2500, 0.2500, 0.7500) and Pt at (0.2500, 0.2500, 0.2500).

The electronic total energy comes out at -5.230 eV per atom. The volume comes out at 391 Å³ per cell. As for the total magnetic moment: 0.000 μB/cell. Its crystal system is cubic.

=====

No. 2
Compound: YZnGa2
Source: Alexandria via LeMat-Bulk
Functional: PBE
Structure: optimized geometry

The space group is Pnma (No. 62) and the conventional cell measures 13.8897, 4.1652 and 10.8727 Å, with angles of 90.00, 90.00 and 90.00 degrees. The inequivalent atoms are Y at (0.0461, 0.2500, 0.2492), Y at (0.2026, 0.7500, 0.5391), Zn at (0.0537, 0.2500, 0.9541), Zn at (0.2103, 0.7500, 0.8357), Ga at (0.0369, 0.2500, 0.5342), Ga at (0.1175, 0.2500, 0.7363), Ga at (0.1326, 0.7500, 0.0485) and Ga at (0.2010, 0.7500, 0.2578).

The electronic total energy comes out at -3.949 eV per atom. The volume comes out at 629 Å³ per cell. As for the total magnetic moment: 0.000 μB/cell. Its crystal system is orthorhombic.

=====

No. 3
Compound: AcBiRh
Source: Alexandria via LeMat-Bulk
Functional: PBE
Structure: optimized geometry

The space group is C2/m (No. 12) and the conventional cell measures 16.2910, 3.8507 and 6.1403 Å, with angles of 90.00, 93.11 and 90.00 degrees. The inequivalent atoms are Ac at (0.1716, 0.0000, 0.2909), Bi at (0.0449, 0.0000, 0.7600) and Rh at (0.2117, 0.0000, 0.8320).

The electronic total energy comes out at -5.341 eV per atom. The volume comes out at 385 Å³ per cell. As for the total magnetic moment: 0.000 μB/cell. Its crystal system is monoclinic. The calculation puts the energy above the most stable polymorph in this dataset at 1.32 eV per formula unit.

=====

Summary of calculated formation energy in meV/atom
-672 -501 -228
(order as listed above)